[1]
DFT (GGA-PBE) results for crystalline TiSbRh4 at its relaxed geometry.

It has space group P2_1/c (No. 14), with a = 5.2633 Å, b = 7.6542 Å, c = 5.0533 Å, α = 90.00°, β = 113.22° and γ = 90.00°. The distinct sites, in fractional coordinates, are Ti at (0.0000, 0.0000, 0.0000), Sb at (0.5000, 0.0000, 0.5000), Rh at (0.1124, 0.1614, 0.5990) and Rh at (0.3764, 0.6637, 0.3969).

The calculation puts the density of states at the Fermi level at 12.46 states/eV/cell. The calculation puts the uncorrected formation energy at -0.38 eV per atom. For the density, the calculation gives 10.32 Mg/m³.



[2]
DFT (GGA-PBE) results for crystalline Pr5Te5O2 at its relaxed geometry.

It has space group C2/m (No. 12), with a = 14.3743 Å, b = 4.1336 Å, c = 11.3907 Å, α = 90.00°, β = 99.94° and γ = 90.00°. The distinct sites, in fractional coordinates, are Pr at (0.0000, 0.0000, 0.0000), Pr at (0.1007, 0.0000, 0.3396), Pr at (0.1407, 0.5000, 0.7888), Te at (0.0000, 0.5000, 0.5000), Te at (0.1655, 0.5000, 0.0902), Te at (0.2228, 0.0000, 0.6153) and O at (0.0432, 0.0000, 0.8038).

The calculation puts the density of states at the Fermi level at 5.64 states/eV/cell. The calculation puts the uncorrected formation energy at -1.89 eV per atom. For the density, the calculation gives 6.85 Mg/m³.



[3]
DFT (GGA-PBE) results for crystalline NbHI2O at its relaxed geometry.

It has space group P4/mmm (No. 123), with a = 5.2455 Å, b = 5.2455 Å, c = 3.1378 Å, α = 90.00°, β = 90.00° and γ = 90.00°. The distinct sites, in fractional coordinates, are Nb at (0.0000, 0.0000, 0.0000), H at (0.5000, 0.5000, 0.5000), I at (0.0000, 0.5000, 0.5000) and O at (0.5000, 0.5000, 0.0000).

The calculation puts the density of states at the Fermi level at 5.60 states/eV/cell. The value obtained for the distance to the lowest polymorph of the same formula is 1000 meV per atom. For the density, the calculation gives 7.00 Mg/m³.



[4]
DFT (GGA-PBE) results for crystalline Ag2I2Br at its relaxed geometry.

It has space group C2/c (No. 15), with a = 7.7831 Å, b = 12.0529 Å, c = 7.8025 Å, α = 90.00°, β = 117.00° and γ = 90.00°. The distinct sites, in fractional coordinates, are Ag at (0.2486, 0.0774, 0.0003), I at (0.0000, 0.2509, 0.7500), I at (0.0000, 0.4165, 0.2500) and Br at (0.0000, 0.0679, 0.2500).

The calculation puts the density of states at the Fermi level at 13.33 states/eV/cell. The calculation puts the uncorrected formation energy at -0.18 eV per atom. The value obtained for the distance to the lowest polymorph of the same formula is 0 meV per atom. For the density, the calculation gives 5.60 Mg/m³.



[5]
DFT (GGA-PBE) results for crystalline Ac3Pm3NdTe8 at its relaxed geometry.

It has space group R-3m (No. 166, hexagonal axes), with a = 9.0845 Å, b = 9.0845 Å, c = 22.7824 Å, α = 90.00°, β = 90.00° and γ = 120.00°. The distinct sites, in fractional coordinates, are Ac at (0.0000, 0.5000, 0.0000), Pm at (0.0000, 0.5000, 0.5000), Nd at (0.0000, 0.0000, 0.5000), Te at (0.0000, 0.0000, 0.2444) and Te at (0.0093, 0.5046, 0.7532).

The calculation puts the density of states at the Fermi level at 22.96 states/eV/cell. The calculation puts the uncorrected formation energy at -1.48 eV per atom. For the density, the calculation gives 6.98 Mg/m³.



[6]
DFT (GGA-PBE) results for crystalline PuUReMo at its relaxed geometry.

It has space group F-43m (No. 216), with a = 6.6199 Å, b = 6.6199 Å, c = 6.6199 Å, α = 90.00°, β = 90.00° and γ = 90.00°. The distinct sites, in fractional coordinates, are Pu at (0.0000, 0.0000, 0.0000), U at (0.2500, 0.2500, 0.7500), Re at (0.2500, 0.2500, 0.2500) and Mo at (0.0000, 0.0000, 0.5000).

As for the formation energy: 0.152 eV/atom. The calculation puts the density of states at the Fermi level at 31.20 states/eV/cell. For the density, the calculation gives 17.50 Mg/m³.